# 1
# Li2CaSbH

An optimized crystal structure of Li2CaSbH (PBE, the Alexandria database).

Cell lengths 4.4336, 4.4336, 4.6659 Å; angles 90.00, 90.00, 90.00 degrees
With the nearest neighbours (Å) after each atom.
Positions (direct):
1 Li 0.0000 0.5000 0.0000  2 H 2.22
2 Li 0.5000 0.0000 0.0000  2 H 2.22
3 Ca 0.0000 0.0000 0.5000  2 H 2.33
4 Sb 0.5000 0.5000 0.5000  4 Ca 3.14, 8 Li 3.22
5 H 0.0000 0.0000 0.0000  4 Li 2.22, 2 Ca 2.33

E: -16.56 eV per formula unit
Symmetry: P4/mmm, No. 123
Total magnetic moment: 0.00 μB per cell
DOS(E_F): 0.1 states/eV per cell
Offset from the most stable computed form: 0 meV per atom



# 2
# LiCaSc2H

An optimized crystal structure of LiCaSc2H (PBE, the Alexandria database).

Cell lengths 4.4319, 4.4319, 5.3984 Å; angles 90.00, 90.00, 90.00 degrees
With the nearest neighbours (Å) after each atom.
Positions (direct):
1 Li 0.0000 0.0000 0.0000  4 Ca 3.13, 8 Sc 3.49
2 Ca 0.5000 0.5000 0.0000  2 H 2.70
3 Sc 0.0000 0.5000 0.5000  2 H 2.22
4 Sc 0.5000 0.0000 0.5000  2 H 2.22
5 H 0.5000 0.5000 0.5000  4 Sc 2.22

E: -19.76 eV per formula unit
Symmetry: P4/mmm, No. 123
Total magnetic moment: 1.47 μB per cell
DOS(E_F): 5.5 states/eV per cell
Offset from the most stable computed form: 0 meV per atom



# 3
# LiCa2ScH

An optimized crystal structure of LiCa2ScH (PBE, the Alexandria database).

Cell lengths 5.5134, 5.5134, 4.0552 Å; angles 90.00, 90.00, 90.00 degrees
With the nearest neighbours (Å) after each atom.
Positions (direct):
1 Li 0.0000 0.0000 0.0000  8 Ca 3.42
2 Ca 0.0000 0.5000 0.5000  2 H 2.76
3 Ca 0.5000 0.0000 0.5000  2 H 2.76
4 Sc 0.5000 0.5000 0.0000  2 H 2.03
5 H 0.5000 0.5000 0.5000  2 Sc 2.03

E: -15.64 eV per formula unit
Symmetry: P4/mmm, No. 123
Total magnetic moment: 0.07 μB per cell
DOS(E_F): 5.4 states/eV per cell